Entry 1:
A PBEsol-optimized structure of Zn2CuW. Source: Alexandria via LeMat-Bulk, functional meta-GGA SCAN.

POSCAR file:
```
Zn2CuW
1.0
-1.566 -2.377 0.804
1.454 -2.114 -3.420
3.356 -1.429 2.310
Zn Cu W
2 1 1
Direct
0.500 0.000 0.500
0.000 0.000 0.000
0.500 0.500 0.000
0.000 0.500 0.500
```

Computed properties:
Energy of formation from the pure elements ... 0.35 eV/atom
E_tot ... -27.631 eV/atom


Entry 2:
A PBEsol-optimized structure of Dy4Si2S3O7. Source: Alexandria via LeMat-Bulk, functional meta-GGA SCAN.

POSCAR file:
```
Dy4Si2S3O7
1.0
10.619 0.001 0.002
-4.301 9.709 -0.002
-4.301 -4.113 8.795
S Dy Si O
12 16 8 28
Direct
0.500 0.250 0.750
0.396 0.375 0.271
0.396 0.021 0.125
0.104 0.375 0.979
0.896 0.021 0.625
0.000 0.000 0.000
0.500 0.750 0.250
0.104 0.729 0.125
0.604 0.875 0.979
0.000 0.500 0.500
0.896 0.875 0.271
0.604 0.729 0.625
0.736 0.020 0.284
0.500 0.423 0.577
0.000 0.673 0.327
0.346 0.673 0.673
0.236 0.034 0.270
0.764 0.730 0.966
0.500 0.077 0.923
0.264 0.548 0.284
0.000 0.327 0.673
0.654 0.327 0.327
0.154 0.077 0.577
0.264 0.716 0.980
0.736 0.716 0.452
0.236 0.202 0.966
0.764 0.034 0.798
0.846 0.423 0.923
0.625 0.155 0.530
0.625 0.470 0.096
0.875 0.595 0.720
0.125 0.280 0.405
0.875 0.280 0.154
0.125 0.846 0.720
0.375 0.470 0.845
0.375 0.904 0.530
0.000 0.224 0.224
0.734 0.185 0.451
0.766 0.565 0.799
0.234 0.291 0.775
0.500 0.526 0.026
0.483 0.541 0.775
0.234 0.033 0.799
0.000 0.776 0.776
0.500 0.974 0.474
0.266 0.808 0.791
0.766 0.225 0.709
0.983 0.525 0.791
0.766 0.201 0.967
0.517 0.225 0.459
0.983 0.459 0.192
0.734 0.525 0.541
0.734 0.209 0.192
0.517 0.291 0.058
0.766 0.541 0.058
0.234 0.942 0.459
0.266 0.459 0.475
0.483 0.942 0.709
0.017 0.209 0.475
0.734 0.549 0.283
0.266 0.549 0.815
0.234 0.201 0.435
0.266 0.717 0.451
0.017 0.808 0.541
```

Computed properties:
Uncorrected formation energy ... -3.184 eV/atom
E_tot ... -20.917 eV/atom


Entry 3:
A PBEsol-optimized structure of Zn2GeRu2. Source: Alexandria via LeMat-Bulk, functional meta-GGA SCAN.

POSCAR file:
```
Zn2GeRu2
1.0
3.801 0.000 0.000
0.000 6.222 0.000
0.000 0.000 6.222
Zn Ge Ru
4 2 4
Direct
0.500 0.153 0.653
0.500 0.847 0.347
0.500 0.653 0.847
0.500 0.347 0.153
0.000 0.000 0.000
0.000 0.500 0.500
0.000 0.352 0.852
0.000 0.852 0.648
0.000 0.648 0.148
0.000 0.148 0.352
```

Computed properties:
Energy of formation from the pure elements ... -0.13 eV/atom
E_tot ... -23.287 eV/atom


Entry 4:
A PBEsol-optimized structure of SiP2SO. Source: Alexandria via LeMat-Bulk, functional meta-GGA SCAN.

POSCAR file:
```
SiP2SO
1.0
4.277 0.000 0.000
0.000 4.442 0.000
0.000 0.000 4.442
P O S Si
2 1 1 1
Direct
0.000 0.500 0.000
0.000 0.000 0.500
0.500 0.500 0.500
0.500 0.000 0.000
0.000 0.000 0.000
```

Computed properties:
Uncorrected formation energy ... 1.140 eV/atom
E_tot ... -8.194 eV/atom


Entry 5:
A PBEsol-optimized structure of Si2PBr. Source: Alexandria via LeMat-Bulk, functional meta-GGA SCAN.

POSCAR file:
```
Si2PBr
1.0
2.987 0.000 0.000
0.000 4.611 0.000
0.000 0.000 4.989
Si Br P
2 1 1
Direct
0.500 0.000 0.500
0.000 0.000 0.000
0.500 0.500 0.000
0.000 0.500 0.500
```

Computed properties:
Uncorrected formation energy ... 1.004 eV/atom
E_tot ... -11.469 eV/atom


Entry 6:
A PBEsol-optimized structure of LaCr2Mo. Source: Alexandria via LeMat-Bulk, functional meta-GGA SCAN.

POSCAR file:
```
LaCr2Mo
1.0
-1.913 -1.778 -1.698
3.102 -2.771 2.264
-4.302 1.200 3.589
La Mo Cr
1 1 2
Direct
0.000 0.000 0.500
0.500 0.000 0.000
0.779 0.559 0.879
0.221 0.441 0.121
```

Computed properties:
Energy of formation from the pure elements ... 0.67 eV/atom
E_tot ... -28.023 eV/atom


Entry 7:
A PBEsol-optimized structure of La2Te. Source: Alexandria via LeMat-Bulk, functional meta-GGA SCAN.

POSCAR file:
```
La2Te
1.0
6.284 0.001 0.000
-2.130 5.912 0.000
-2.077 -2.957 5.142
La Te
4 2
Direct
0.341 0.159 0.500
0.159 0.659 0.819
0.659 0.841 0.500
0.841 0.341 0.181
0.250 0.250 0.000
0.750 0.750 0.000
```

Computed properties:
Uncorrected formation energy ... -1.094 eV/atom
E_tot ... -42.248 eV/atom


Entry 8:
A PBEsol-optimized structure of Zr2AlZnW. Source: Alexandria via LeMat-Bulk, functional meta-GGA SCAN.

POSCAR file:
```
Zr2AlZnW
1.0
4.876 0.000 0.000
0.000 4.972 0.000
0.000 0.000 4.972
Zn Zr W Al
1 2 1 1
Direct
0.500 0.500 0.500
0.000 0.500 0.000
0.000 0.000 0.500
0.000 0.000 0.000
0.500 0.000 0.000
```

Computed properties:
Energy of formation from the pure elements ... 0.77 eV/atom
E_tot ... -29.700 eV/atom


Entry 9:
A PBEsol-optimized structure of KIn2Ag. Source: Alexandria via LeMat-Bulk, functional meta-GGA SCAN.

POSCAR file:
```
KIn2Ag
1.0
-1.198 -2.933 1.363
0.960 -1.700 -2.813
7.754 -1.512 3.559
K Ag In
1 1 2
Direct
0.500 0.500 0.000
0.500 0.500 0.500
0.000 0.000 0.692
0.000 0.000 0.308
```

Computed properties:
Energy of formation from the pure elements ... -0.09 eV/atom
E_tot ... -26.710 eV/atom


Entry 10:
A PBEsol-optimized structure of BaNa2Tl2. Source: Alexandria via LeMat-Bulk, functional meta-GGA SCAN.

POSCAR file:
```
BaNa2Tl2
1.0
-3.011 0.680 -3.463
-2.582 -3.528 1.553
-1.205 6.307 5.393
Tl Ba Na
2 1 2
Direct
0.396 0.396 0.792
0.604 0.604 0.208
0.000 0.000 0.000
0.250 0.750 0.500
0.750 0.250 0.500
```

Computed properties:
Energy of formation from the pure elements ... -0.31 eV/atom
E_tot ... -38.848 eV/atom


Entry 11:
A PBEsol-optimized structure of Y4TaTe. Source: Alexandria via LeMat-Bulk, functional meta-GGA SCAN.

POSCAR file:
```
Y4TaTe
1.0
6.058 0.000 0.000
3.029 5.247 0.000
3.029 1.749 4.947
Te Y Ta
1 4 1
Direct
0.000 0.000 0.000
0.378 0.378 0.378
0.867 0.378 0.378
0.378 0.867 0.378
0.378 0.378 0.867
0.750 0.750 0.750
```

Computed properties:
Uncorrected formation energy ... 0.611 eV/atom
E_tot ... -35.257 eV/atom


Entry 12:
A PBEsol-optimized structure of ZnReMo. Source: Alexandria via LeMat-Bulk, functional meta-GGA SCAN.

POSCAR file:
```
ZnReMo
1.0
4.188 0.000 0.000
2.094 3.627 0.000
2.094 1.209 3.420
Re Zn Mo
1 1 1
Direct
0.250 0.250 0.250
0.000 0.000 0.000
0.500 0.500 0.500
```

Computed properties:
Energy of formation from the pure elements ... 0.68 eV/atom
E_tot ... -39.151 eV/atom